(1)
# GGA-PBE ZnFeAu2, optimized geometry
# Energy of formation from the pure elements   0.278 eV/atom
# Spin magnetization   2.96 μB/f.u.
# Fermi-level density of states   0.845 states/eV per atom
data_ZnFeAu2
_cell_length_a 3.8865
_cell_length_b 3.8865
_cell_length_c 18.4381
_cell_angle_alpha 90.00
_cell_angle_beta 90.00
_cell_angle_gamma 90.00
_space_group_name_H-M_alt 'I -4 2 d'
_space_group_IT_number 122
_space_group_name_Hall 'I -4 2bw'
loop_
_atom_site_label
_atom_site_fract_x
_atom_site_fract_y
_atom_site_fract_z
Zn1 0.0000 0.0000 0.0000
Fe1 0.0000 0.0000 0.5000
Au1 0.2496 0.2500 0.1250

---

(2)
# GGA-PBE MgNbRh2, optimized geometry
# Energy of formation from the pure elements   -0.012 eV/atom
# Spin magnetization   0.00 μB/f.u.
# Fermi-level density of states   0.415 states/eV per atom
data_MgNbRh2
_cell_length_a 6.9816
_cell_length_b 6.9816
_cell_length_c 5.7907
_cell_angle_alpha 90.00
_cell_angle_beta 90.00
_cell_angle_gamma 90.00
_space_group_name_H-M_alt 'I -4 2 d'
_space_group_IT_number 122
_space_group_name_Hall 'I -4 2bw'
loop_
_atom_site_label
_atom_site_fract_x
_atom_site_fract_y
_atom_site_fract_z
Mg1 0.0000 0.0000 0.0000
Nb1 0.0000 0.0000 0.5000
Rh1 0.2295 0.2500 0.6250

---

(3)
# GGA-PBE CaCd2Hg5, optimized geometry
# Energy of formation from the pure elements   -0.146 eV/atom
# Spin magnetization   0.00 μB/f.u.
# Fermi-level density of states   0.414 states/eV per atom
data_CaCd2Hg5
_cell_length_a 8.0064
_cell_length_b 8.0064
_cell_length_c 12.8752
_cell_angle_alpha 90.00
_cell_angle_beta 90.00
_cell_angle_gamma 90.00
_space_group_name_H-M_alt 'I 4/m c m'
_space_group_IT_number 140
_space_group_name_Hall '-I 4 2c'
loop_
_atom_site_label
_atom_site_fract_x
_atom_site_fract_y
_atom_site_fract_z
Ca1 0.0000 0.0000 0.2500
Cd1 0.1471 0.3529 0.0000
Hg1 0.0000 0.0000 0.0000
Hg2 0.1495 0.3505 0.3400